Record 1
# KRe2W

A relaxed structure of KRe2W (PBE, the Alexandria database).

```
4
Lattice="-1.475 1.730 -1.646 -2.362 -0.775 1.302 1.234 7.346 6.615" Properties=species:S:1:pos:R:3 pbc="T T T"
W 0.541 3.222 2.901
Re 0.076 0.454 0.409
Re -1.621 2.250 1.424
K -0.983 6.048 4.844
```

Output
calculated density = 12.60 g cm⁻³
magnetic moment = 0.00 μB per cell

Record 2
# KRe2W

A relaxed structure of KRe2W (PBE, the Alexandria database).

```
4
Lattice="-1.295 4.523 -0.354 -1.615 3.383 -2.865 -7.050 -1.492 1.576" Properties=species:S:1:pos:R:3 pbc="T T T"
W -2.490 1.603 -0.411
Re -4.285 3.483 -1.035
Re -3.605 7.629 -3.005
K -7.470 4.810 -1.232
```

Output
calculated density = 10.72 g cm⁻³
magnetic moment = 0.00 μB per cell

no.,polymorph energy (0 for the lowest one) (eV/atom)
1,0.1732
2,0.4170